An optimized crystal structure of Mg2TlRu. Source: Alexandria, functional GGA-PBE.

Lattice parameters (Å, degrees): 3.1619 3.1619 27.5519 90.00 90.00 120.00
Closest atoms and distances in Å follow each position.
Space group R-3m (No. 166, hexagonal axes)
Asymmetric unit:
Mg: 0.0000 0.0000 0.2387 (multiplicity 6)  3 Ru 2.70
Tl: 0.0000 0.0000 0.0000 (multiplicity 3)  6 Tl 3.16, 6 Mg 3.18
Ru: 0.0000 0.0000 0.5000 (multiplicity 3)  6 Mg 2.70

Computed properties:
total magnetization: 0.00 μB/f.u.
mass density: 7.39 Mg/m³
DOS(E_F): 9.1 states/eV/cell
excess energy over the best structure of this formula in the dataset: 127 meV/atom